A) LiHf2Ga2 | PBE | relaxed

Structure (extended XYZ):
```
10
Lattice="6.650 0.000 0.000 0.000 6.650 0.000 0.000 0.000 4.112" Properties=species:S:1:pos:R:3 pbc="T T T"
Li 0.000 0.000 0.000
Li 3.325 3.325 0.000
Hf 1.122 2.202 2.056
Hf 2.202 5.527 2.056
Hf 4.447 1.122 2.056
Hf 5.527 4.447 2.056
Ga 0.907 4.232 0.000
Ga 2.417 0.907 0.000
Ga 4.232 5.742 0.000
Ga 5.742 2.417 0.000
```

Magnetic moment, μB per formula unit: 0.0
Fermi-level density of states, states/eV/f.u.: 3.60
Crystal system: tetragonal
SG: P4/mbm

***

B) LiHf2Ga2 | PBE | relaxed

Structure (extended XYZ):
```
10
Lattice="8.291 0.000 0.000 0.000 8.291 0.000 0.000 0.000 2.952" Properties=species:S:1:pos:R:3 pbc="T T T"
Li 0.000 0.000 0.000
Li 4.146 4.146 0.000
Hf 1.072 3.073 0.000
Hf 3.073 7.219 0.000
Hf 5.218 1.072 0.000
Hf 7.219 5.218 0.000
Ga 1.400 5.546 1.476
Ga 2.746 1.400 1.476
Ga 5.546 6.891 1.476
Ga 6.891 2.746 1.476
```

Magnetic moment, μB per formula unit: 0.0
Fermi-level density of states, states/eV/f.u.: 3.71
Crystal system: tetragonal
SG: P4/mbm

***

It is B) that is the least stable of them.

***

A) LiHfGa3 | PBE | relaxed

Structure (extended XYZ):
```
5
Lattice="5.223 0.000 0.000 0.000 5.223 0.000 0.000 0.000 5.223" Properties=species:S:1:pos:R:3 pbc="T T T"
Li 0.000 0.000 0.000
Hf 2.611 2.611 2.611
Ga 0.000 2.611 2.611
Ga 2.611 0.000 2.611
Ga 2.611 2.611 0.000
```

Magnetic moment, μB per formula unit: 0.0
Fermi-level density of states, states/eV/f.u.: 3.52
Crystal system: cubic
SG: Pm-3m

***

B) LiHfGa3 | PBE | relaxed

Structure (extended XYZ):
```
10
Lattice="1.611 -13.096 0.000 1.611 13.096 0.000 0.000 0.000 4.262" Properties=species:S:1:pos:R:3 pbc="T T T"
Li 1.611 11.086 3.196
Li 1.611 -11.086 1.065
Hf 1.611 7.451 1.065
Hf 1.611 -7.451 3.196
Ga 1.611 4.610 1.065
Ga 1.611 3.124 3.196
Ga 1.611 0.635 3.196
Ga 1.611 -0.635 1.065
Ga 1.611 -3.124 1.065
Ga 1.611 -4.610 3.196
```

Magnetic moment, μB per formula unit: 0.0
Fermi-level density of states, states/eV/f.u.: 2.12
Crystal system: orthorhombic
SG: Cmcm

***

It is A) that is the least stable of them.

***

A) LiHf2Ga3 | PBE | relaxed

Structure (extended XYZ):
```
12
Lattice="0.000 4.318 7.473 3.161 0.000 7.473 3.161 4.318 0.000" Properties=species:S:1:pos:R:3 pbc="T T T"
Li 3.161 4.318 2.496
Li 3.161 4.318 12.450
Hf 1.581 2.159 3.737
Hf 4.724 4.318 7.473
Hf 1.599 4.318 7.473
Hf 4.742 6.478 11.210
Ga 3.161 2.107 6.200
Ga 3.161 2.107 8.747
Ga 3.161 4.318 4.933
Ga 3.161 4.318 10.014
Ga 3.161 6.530 6.200
Ga 3.161 6.530 8.747
```

Magnetic moment, μB per formula unit: 0.0
Fermi-level density of states, states/eV/f.u.: 1.97
Crystal system: orthorhombic
SG: Fmmm

***

B) LiHf2Ga3 | PBE | relaxed

Structure (extended XYZ):
```
12
Lattice="7.349 -2.801 0.000 7.349 2.801 0.000 -1.300 0.000 5.258" Properties=species:S:1:pos:R:3 pbc="T T T"
Li 6.375 2.324 3.944
Li 7.025 -2.324 1.315
Hf 4.290 0.720 2.108
Hf 3.640 -0.720 4.737
Hf 9.759 0.720 0.521
Hf 9.109 -0.720 3.150
Ga 2.193 0.695 0.285
Ga 1.543 -0.695 2.914
Ga 7.025 0.382 1.315
Ga 6.375 -0.382 3.944
Ga 11.856 0.695 2.345
Ga 11.206 -0.695 4.974
```

Magnetic moment, μB per formula unit: 0.0
Fermi-level density of states, states/eV/f.u.: 3.71
Crystal system: monoclinic
SG: C2/c

***

It is B) that is the least stable of them.

***

A) Lu2HfGa | PBE | relaxed

Structure (extended XYZ):
```
4
Lattice="4.487 0.000 0.000 0.000 4.487 0.000 0.000 0.000 4.506" Properties=species:S:1:pos:R:3 pbc="T T T"
Lu 0.000 2.243 0.000
Lu 2.243 0.000 0.000
Hf 0.000 0.000 2.253
Ga 2.243 2.243 2.253
```

Magnetic moment, μB per formula unit: 0.0
Fermi-level density of states, states/eV/f.u.: 3.06
Crystal system: tetragonal
SG: P4/mmm

***

B) Lu2HfGa | PBE | relaxed

Structure (extended XYZ):
```
12
Lattice="3.360 0.000 0.000 -1.680 2.910 0.000 0.000 0.000 29.732" Properties=species:S:1:pos:R:3 pbc="T T T"
Lu 0.000 0.000 7.282
Lu 0.000 0.000 22.450
Lu 0.000 1.940 12.540
Lu 0.000 1.940 27.103
Lu 1.680 0.970 2.629
Lu 1.680 0.970 17.193
Hf 0.000 0.000 0.000
Hf 0.000 1.940 19.822
Hf 1.680 0.970 9.911
Ga 0.000 0.000 14.866
Ga 0.000 1.940 4.955
Ga 1.680 0.970 24.777
```

Magnetic moment, μB per formula unit: 0.0
Fermi-level density of states, states/eV/f.u.: 4.23
Crystal system: trigonal
SG: R-3m

***

It is B) that is the least stable of them.

***

A) LuHfGa2 | PBE | relaxed

Structure (extended XYZ):
```
4
Lattice="3.516 0.000 0.000 0.000 3.516 0.000 0.000 0.000 6.473" Properties=species:S:1:pos:R:3 pbc="T T T"
Lu 0.000 0.000 0.000
Hf 0.000 0.000 3.236
Ga 1.758 1.758 1.740
Ga 1.758 1.758 4.733
```

Magnetic moment, μB per formula unit: 0.0
Fermi-level density of states, states/eV/f.u.: 2.92
Crystal system: tetragonal
SG: P4/mmm

***

B) LuHfGa2 | PBE | relaxed

Structure (extended XYZ):
```
12
Lattice="3.411 0.000 0.000 -1.705 2.954 0.000 0.000 0.000 25.462" Properties=species:S:1:pos:R:3 pbc="T T T"
Lu 0.000 0.000 0.000
Lu 0.000 1.969 16.975
Lu 1.705 0.985 8.487
Hf 0.000 0.000 12.731
Hf 0.000 1.969 4.244
Hf 1.705 0.985 21.218
Ga 0.000 0.000 6.294
Ga 0.000 0.000 19.168
Ga 0.000 1.969 10.681
Ga 0.000 1.969 23.269
Ga 1.705 0.985 2.194
Ga 1.705 0.985 14.781
```

Magnetic moment, μB per formula unit: 0.0
Fermi-level density of states, states/eV/f.u.: 2.78
Crystal system: trigonal
SG: R-3m

***

It is B) that is the least stable of them.

***

A) Hf2MgGa | PBE | relaxed

Structure (extended XYZ):
```
16
Lattice="6.784 0.000 0.000 0.000 6.784 0.000 0.000 0.000 6.784" Properties=species:S:1:pos:R:3 pbc="T T T"
Hf 1.696 1.696 1.696
Hf 1.696 1.696 5.088
Hf 1.696 5.088 1.696
Hf 1.696 5.088 5.088
Hf 5.088 1.696 1.696
Hf 5.088 1.696 5.088
Hf 5.088 5.088 1.696
Hf 5.088 5.088 5.088
Mg 0.000 0.000 0.000
Mg 0.000 3.392 3.392
Mg 3.392 0.000 3.392
Mg 3.392 3.392 0.000
Ga 0.000 0.000 3.392
Ga 0.000 3.392 0.000
Ga 3.392 0.000 0.000
Ga 3.392 3.392 3.392
```

Magnetic moment, μB per formula unit: 0.0
Fermi-level density of states, states/eV/f.u.: 3.62
Crystal system: cubic
SG: Fm-3m

***

B) Hf2MgGa | PBE | relaxed

Structure (extended XYZ):
```
4
Lattice="4.313 0.000 0.000 0.000 4.313 0.000 0.000 0.000 4.228" Properties=species:S:1:pos:R:3 pbc="T T T"
Hf 0.000 2.157 0.000
Hf 2.157 0.000 0.000
Mg 0.000 0.000 2.114
Ga 2.157 2.157 2.114
```

Magnetic moment, μB per formula unit: 0.0
Fermi-level density of states, states/eV/f.u.: 3.59
Crystal system: tetragonal
SG: P4/mmm

***

C) Hf2MgGa | PBE | relaxed

Structure (extended XYZ):
```
16
Lattice="7.743 0.000 0.000 0.000 7.743 0.000 0.000 0.000 5.711" Properties=species:S:1:pos:R:3 pbc="T T T"
Hf 1.768 5.807 0.714
Hf 1.936 1.768 4.997
Hf 1.936 2.103 2.142
Hf 2.103 5.807 3.569
Hf 5.640 1.936 3.569
Hf 5.807 5.640 2.142
Hf 5.807 5.975 4.997
Hf 5.975 1.936 0.714
Mg 0.000 0.000 2.856
Mg 0.000 3.872 4.283
Mg 3.872 0.000 1.428
Mg 3.872 3.872 0.000
Ga 0.000 0.000 0.000
Ga 0.000 3.872 1.428
Ga 3.872 0.000 4.283
Ga 3.872 3.872 2.856
```

Magnetic moment, μB per formula unit: 0.0
Fermi-level density of states, states/eV/f.u.: 3.93
Crystal system: tetragonal
SG: I-42d

***

It is C) that is the least stable of them.